#one
TiSiSn3: relaxed, GGA-PBE.

## Properties
V = 145.9 Å³/cell
SG = Pm-3m, No. 221

Cell lengths 5.2647, 5.2647, 5.2647 Å; angles 90.00, 90.00, 90.00 degrees
With the nearest neighbours (Å) after each atom.
Element x y z (fractional)
Si1 0.5000 0.5000 0.5000  12 Sn 3.72
Sn1 0.0000 0.0000 0.5000  2 Ti 2.63
Ti1 0.0000 0.0000 0.0000  6 Sn 2.63
Sn2 0.5000 0.0000 0.0000  2 Ti 2.63
Sn3 0.0000 0.5000 0.0000  2 Ti 2.63

#two
TiSiSn3: relaxed, GGA-PBE.

## Properties
V = 134.9 Å³/cell
SG = Pm-3m, No. 221

Cell lengths 5.1288, 5.1288, 5.1288 Å; angles 90.00, 90.00, 90.00 degrees
With the nearest neighbours (Å) after each atom.
Element x y z (fractional)
Sn1 0.0000 0.5000 0.0000  2 Si 2.56
Sn2 0.0000 0.0000 0.5000  2 Si 2.56
Ti1 0.5000 0.5000 0.5000  12 Sn 3.63
Sn3 0.5000 0.0000 0.0000  2 Si 2.56
Si1 0.0000 0.0000 0.0000  6 Sn 2.56

It is #two that is the least stable of them.

#one
Ti2SiSn: relaxed, GGA-PBE.

## Properties
V = 69.5 Å³/cell
SG = Fm-3m, No. 225

Cell lengths 4.6148, 4.6148, 4.6148 Å; angles 60.00, 60.00, 60.00 degrees
With the nearest neighbours (Å) after each atom.
Element x y z (fractional)
Si1 0.0000 0.0000 0.0000  8 Ti 2.83
Ti1 0.7500 0.7500 0.7500  4 Sn 2.83, 4 Si 2.83
Sn1 0.5000 0.5000 0.5000  8 Ti 2.83
Ti2 0.2500 0.2500 0.2500  4 Sn 2.83, 4 Si 2.83

#two
Ti2SiSn: relaxed, GGA-PBE.

## Properties
V = 148.9 Å³/cell
SG = I-42d, No. 122

Cell lengths 7.2082, 7.2082, 5.8470 Å; angles 51.95, 51.95, 90.00 degrees
With the nearest neighbours (Å) after each atom.
Element x y z (fractional)
Sn1 0.0000 0.0000 0.0000  4 Ti 2.78, 2 Si 2.87
Si1 0.5000 0.5000 0.0000  4 Ti 2.52
Ti1 0.3750 0.4008 0.7500  2 Si 2.52, 2 Sn 2.78
Ti2 0.1508 0.6250 0.2500  2 Si 2.52, 2 Sn 2.78
Ti3 0.5992 0.1250 0.2500  2 Si 2.52, 2 Sn 2.78
Si2 0.2500 0.7500 0.5000  4 Ti 2.52
Ti4 0.8750 0.8492 0.7500  2 Si 2.52, 2 Sn 2.78
Sn2 0.7500 0.2500 0.5000  4 Ti 2.78, 2 Si 2.87

It is #one that is the least stable of them.

#one
TiSi2Sn2: relaxed, GGA-PBE.

## Properties
V = 110.5 Å³/cell
SG = I4/mmm, No. 139

Cell lengths 3.9658, 3.9658, 7.5644 Å; angles 74.80, 74.80, 90.00 degrees
With the nearest neighbours (Å) after each atom.
Element x y z (fractional)
Sn1 0.7500 0.2500 0.5000  4 Sn 2.80, 4 Si 3.09
Ti1 0.0000 0.0000 0.0000  8 Si 3.03
Si1 0.4187 0.4187 0.1626  1 Si 2.29
Sn2 0.2500 0.7500 0.5000  4 Sn 2.80, 4 Si 3.09
Si2 0.5813 0.5813 0.8374  1 Si 2.29

#two
TiSi2Sn2: relaxed, GGA-PBE.

## Properties
V = 195.3 Å³/cell
SG = P4/mbm, No. 127

Cell lengths 6.8334, 6.8334, 4.1817 Å; angles 90.00, 90.00, 90.00 degrees
With the nearest neighbours (Å) after each atom.
Element x y z (fractional)
Sn1 0.3230 0.1770 0.5000  6 Si 2.81-2.98
Si1 0.3708 0.8708 0.0000  1 Si 2.50, 2 Ti 2.68
Si2 0.6292 0.1292 0.0000  1 Si 2.50, 2 Ti 2.68
Si3 0.1292 0.3708 0.0000  1 Si 2.50, 2 Ti 2.68
Sn2 0.6770 0.8230 0.5000  6 Si 2.81-2.98
Ti1 0.5000 0.5000 0.0000  4 Si 2.68
Si4 0.8708 0.6292 0.0000  1 Si 2.50, 2 Ti 2.68
Ti2 0.0000 0.0000 0.0000  4 Si 2.68
Sn3 0.1770 0.6770 0.5000  6 Si 2.81-2.98
Sn4 0.8230 0.3230 0.5000  6 Si 2.81-2.98

It is #one that is the least stable of them.

#one
TlSi2Sn2: relaxed, GGA-PBE.

## Properties
V = 121.3 Å³/cell
SG = I4/mmm, No. 139

Cell lengths 3.4794, 3.4794, 10.3162 Å; angles 80.29, 80.29, 90.00 degrees
With the nearest neighbours (Å) after each atom.
Element x y z (fractional)
Sn1 0.6246 0.6246 0.7507  4 Si 3.06
Si1 0.2500 0.7500 0.5000  4 Si 2.46
Sn2 0.3754 0.3754 0.2493  4 Si 3.06
Tl1 0.0000 0.0000 0.0000  4 Tl 3.48, 8 Sn 3.51
Si2 0.7500 0.2500 0.5000  4 Si 2.46

#two
TlSi2Sn2: relaxed, GGA-PBE.

## Properties
V = 123.6 Å³/cell
SG = I4/mmm, No. 139

Cell lengths 5.1327, 5.1327, 5.9303 Å; angles 64.36, 64.36, 90.00 degrees
With the nearest neighbours (Å) after each atom.
Element x y z (fractional)
Sn1 0.7500 0.2500 0.5000  4 Si 2.81
Tl1 0.0000 0.0000 0.0000  8 Sn 3.48, 10 Si 3.49-3.82
Si1 0.6276 0.6276 0.7448  1 Si 2.39
Si2 0.3724 0.3724 0.2552  1 Si 2.39
Sn2 0.2500 0.7500 0.5000  4 Si 2.81

It is #one that is the least stable of them.

#one
Tl2Si2Sn: relaxed, GGA-PBE.

## Properties
V = 255.3 Å³/cell
SG = P4/mbm, No. 127

Cell lengths 7.0759, 7.0759, 5.0987 Å; angles 90.00, 90.00, 90.00 degrees
With the nearest neighbours (Å) after each atom.
Element x y z (fractional)
Tl1 0.1848 0.6848 0.5000  6 Si 3.23-3.36
Si1 0.3827 0.8827 0.0000  1 Si 2.35
Si2 0.8827 0.6173 0.0000  1 Si 2.35
Si3 0.6173 0.1173 0.0000  1 Si 2.35
Tl2 0.6848 0.8152 0.5000  6 Si 3.23-3.36
Tl3 0.3152 0.1848 0.5000  6 Si 3.23-3.36
Si4 0.1173 0.3827 0.0000  1 Si 2.35
Sn1 0.5000 0.5000 0.0000  4 Si 2.83
Tl4 0.8152 0.3152 0.5000  6 Si 3.23-3.36
Sn2 0.0000 0.0000 0.0000  4 Si 2.83

#two
Tl2Si2Sn: relaxed, GGA-PBE.

## Properties
V = 123.7 Å³/cell
SG = I4/mmm, No. 139

Cell lengths 3.4934, 3.4934, 10.4303 Å; angles 80.36, 80.36, 90.00 degrees
With the nearest neighbours (Å) after each atom.
Element x y z (fractional)
Tl1 0.3819 0.3819 0.2362  4 Si 3.19, 4 Sn 3.44, 4 Tl 3.49
Si1 0.7500 0.2500 0.5000  4 Si 2.47
Tl2 0.6181 0.6181 0.7638  4 Si 3.19, 4 Sn 3.44, 4 Tl 3.49
Si2 0.2500 0.7500 0.5000  4 Si 2.47
Sn1 0.0000 0.0000 0.0000  8 Tl 3.44, 4 Sn 3.49

It is #one that is the least stable of them.

#one
TlSiSn2: relaxed, GGA-PBE.

## Properties
V = 101.4 Å³/cell
SG = Fm-3m, No. 225

Cell lengths 5.2334, 5.2334, 5.2334 Å; angles 60.00, 60.00, 60.00 degrees
With the nearest neighbours (Å) after each atom.
Element x y z (fractional)
Sn1 0.2500 0.2500 0.2500  4 Tl 3.20, 4 Si 3.20
Tl1 0.5000 0.5000 0.5000  8 Sn 3.20
Si1 0.0000 0.0000 0.0000  8 Sn 3.20
Sn2 0.7500 0.7500 0.7500  4 Tl 3.20, 4 Si 3.20

#two
TlSiSn2: relaxed, GGA-PBE.

## Properties
V = 108.6 Å³/cell
SG = R-3m, No. 166

Cell lengths 3.9695, 3.9695, 8.2817 Å; angles 76.13, 76.13, 60.00 degrees
With the nearest neighbours (Å) after each atom.
Element x y z (fractional)
Sn1 0.7316 0.7316 0.8052  3 Si 2.77
Si1 0.0000 0.0000 0.0000  6 Sn 2.77
Sn2 0.2684 0.2684 0.1948  3 Si 2.77
Tl1 0.5000 0.5000 0.5000  6 Sn 3.34

It is #one that is the least stable of them.